YTmScIn after structural relaxation, computed with PBE-GGA.

Output
energy relative to the lowest polymorph listed for this composition: 0.000 eV per atom
Fermi-level density of states: 4.98 states/eV per cell
total magnetic moment: 0.92 Bohr magnetons per cell
DFT formation energy: -260.1 meV per atom
calculated total energy: -21.05 eV per cell

Cell: 4.698 4.738 4.740 Å, 90.00 90.00 90.00°
Element x y z (fractional)
Y (0.000, 0.000, 0.000)
Tm (0.000, 0.500, 0.500)
Sc (0.500, 0.000, 0.500)
In (0.500, 0.500, 0.000)